Compound: MnHgI3
Source: the Alexandria database
Functional: PBE-GGA
Structure: relaxed

## Properties
Spin magnetization (μB/f.u.): 4.00
Uncorrected energy (Ry/atom): -0.2205
Formation energy without anion corrections (eV/f.u.): -0.9

Cell: 4.319 8.031 8.031 Å, 125.45 90.00 90.00°
Fractional coordinates of all 5 atoms:
Mn  0.500  0.005  0.995
Hg  0.000  0.728  0.272
I  0.500  0.152  0.378
I  0.500  0.622  0.848
I  0.000  0.121  0.879